# 1
# Li2SiPd2

An optimized crystal structure of Li2SiPd2 (PBE, Alexandria).

The calculation puts the raw formation energy at -0.44 eV/atom. For the density of states at the Fermi level, the calculation gives 1.34 states/eV/f.u. For the mass density, the calculation gives 5.794 Mg/m³. The energy comes out at -4.36 eV per atom. As for the offset from the most stable computed form: 17.4 kJ/mol of atoms.

The structure belongs to space group Ibam (No. 72); the cell edges are 5.225, 11.213 and 4.986 Å and the angles 90.00°, 90.00° and 90.00°. The asymmetric unit holds Li at (0.126, 0.107, 0.000), Si at (0.000, 0.500, 0.250) and Pd at (0.156, 0.332, 0.000).

# 2
# Li2SiPd2

An optimized crystal structure of Li2SiPd2 (PBE, Alexandria).

The calculation puts the raw formation energy at -0.31 eV/atom. For the density of states at the Fermi level, the calculation gives 0.94 states/eV/f.u. For the mass density, the calculation gives 6.550 Mg/m³. The energy comes out at -4.24 eV per atom. As for the offset from the most stable computed form: 29.8 kJ/mol of atoms.

The structure belongs to space group P4/mbm (No. 127); the cell edges are 6.599, 6.599 and 2.967 Å and the angles 90.00°, 90.00° and 90.00°. The asymmetric unit holds Li at (0.117, 0.383, 0.000), Si at (0.000, 0.000, 0.000) and Pd at (0.188, 0.688, 0.500).

# 3
# LiSi2Pd5

An optimized crystal structure of LiSi2Pd5 (PBE, Alexandria).

The calculation puts the raw formation energy at -0.55 eV/atom. For the density of states at the Fermi level, the calculation gives 2.57 states/eV/f.u. For the mass density, the calculation gives 7.647 Mg/m³. The energy comes out at -5.39 eV per atom.

The structure belongs to space group Immm (No. 71); the cell edges are 3.636, 6.880 and 10.333 Å and the angles 90.00°, 90.00° and 90.00°. The asymmetric unit holds Li at (0.000, 0.000, 0.000), Si at (0.000, 0.500, 0.233), Pd at (0.000, 0.213, 0.355) and Pd at (0.000, 0.500, 0.000).

# 4
# Li2Si4Pd5

An optimized crystal structure of Li2Si4Pd5 (PBE, Alexandria).

The calculation puts the raw formation energy at -0.39 eV/atom. For the density of states at the Fermi level, the calculation gives 3.89 states/eV/f.u. For the mass density, the calculation gives 6.384 Mg/m³. The energy comes out at -5.07 eV per atom.

The structure belongs to space group C2/m (No. 12); the cell edges are 10.379, 5.550 and 6.228 Å and the angles 90.00°, 107.34° and 90.00°. The asymmetric unit holds Li at (0.205, 0.000, 0.310), Si at (0.048, 0.500, 0.343), Si at (0.246, 0.000, 0.760), Pd at (0.000, 0.000, 0.500) and Pd at (0.110, 0.250, 0.922).

# 5
# Li5SiPd2

An optimized crystal structure of Li5SiPd2 (PBE, Alexandria).

The calculation puts the raw formation energy at -0.25 eV/atom. For the density of states at the Fermi level, the calculation gives 3.64 states/eV/f.u. For the mass density, the calculation gives 3.495 Mg/m³. The energy comes out at -3.42 eV per atom.

The structure belongs to space group P6_3/mmc (No. 194); the cell edges are 4.4963, 4.4963 and 14.9590 Å and the angles 90.00°, 90.00° and 120.00°. The asymmetric unit holds Li at (0.0000, 0.0000, 0.1519), Li at (0.3333, 0.6667, 0.0713), Li at (0.3333, 0.6667, 0.2500), Si at (0.3333, 0.6667, 0.7500) and Pd at (0.3333, 0.6667, 0.5975).

# 6
# LiSi4Pd4

An optimized crystal structure of LiSi4Pd4 (PBE, Alexandria).

The calculation puts the raw formation energy at -0.39 eV/atom. For the density of states at the Fermi level, the calculation gives 4.60 states/eV/f.u. For the mass density, the calculation gives 6.073 Mg/m³. The energy comes out at -5.32 eV per atom.

The structure belongs to space group P4_2/nmc (No. 137, origin choice 2); the cell edges are 5.986, 5.986 and 8.317 Å and the angles 90.00°, 90.00° and 90.00°. The asymmetric unit holds Li at (0.250, 0.750, 0.250), Si at (0.052, 0.250, 0.071) and Pd at (0.014, 0.250, 0.366).

# 7
# LiSi3Pd

An optimized crystal structure of LiSi3Pd (PBE, Alexandria).

The calculation puts the raw formation energy at 0.52 eV/atom. For the density of states at the Fermi level, the calculation gives 3.31 states/eV/f.u. For the mass density, the calculation gives 3.051 Mg/m³. The energy comes out at -4.16 eV per atom. As for the offset from the most stable computed form: 45.7 kJ/mol of atoms.

The structure belongs to space group Pm-3m (No. 221); the cell edges are 4.756, 4.756 and 4.756 Å and the angles 90.00°, 90.00° and 90.00°. The asymmetric unit holds Li at (0.000, 0.000, 0.000), Si at (0.000, 0.500, 0.500) and Pd at (0.500, 0.500, 0.500).

# 8
# Li3SiPd4

An optimized crystal structure of Li3SiPd4 (PBE, Alexandria).

The calculation puts the raw formation energy at -0.61 eV/atom. For the density of states at the Fermi level, the calculation gives 2.10 states/eV/f.u. For the mass density, the calculation gives 7.516 Mg/m³. The energy comes out at -4.61 eV per atom. As for the offset from the most stable computed form: 0.0 kJ/mol of atoms.

The structure belongs to space group I4/mmm (No. 139); the cell edges are 4.209, 4.209 and 11.836 Å and the angles 90.00°, 90.00° and 90.00°. The asymmetric unit holds Li at (0.000, 0.000, 0.000), Li at (0.000, 0.000, 0.248), Si at (0.000, 0.000, 0.500) and Pd at (0.000, 0.500, 0.121).

# 9
# LiSiPd2

An optimized crystal structure of LiSiPd2 (PBE, Alexandria).

The calculation puts the raw formation energy at -0.64 eV/atom. For the density of states at the Fermi level, the calculation gives 1.41 states/eV/f.u. For the mass density, the calculation gives 7.736 Mg/m³. The energy comes out at -5.07 eV per atom.

The structure belongs to space group P4/mmm (No. 123); the cell edges are 4.294, 4.294 and 2.886 Å and the angles 90.00°, 90.00° and 90.00°. The asymmetric unit holds Li at (0.000, 0.000, 0.000), Si at (0.500, 0.500, 0.000) and Pd at (0.000, 0.500, 0.500).

# 10
# Li3Si2Pd6

An optimized crystal structure of Li3Si2Pd6 (PBE, Alexandria).

The calculation puts the raw formation energy at -0.52 eV/atom. For the density of states at the Fermi level, the calculation gives 3.00 states/eV/f.u. For the mass density, the calculation gives 6.189 Mg/m³. The energy comes out at -4.86 eV per atom.

The structure belongs to space group Im-3m (No. 229); the cell edges are 9.157, 9.157 and 9.157 Å and the angles 90.00°, 90.00° and 90.00°. The asymmetric unit holds Li at (0.000, 0.000, 0.329), Si at (0.250, 0.250, 0.250) and Pd at (0.000, 0.311, 0.311).

# 11
# Li3Si4Pd2

An optimized crystal structure of Li3Si4Pd2 (PBE, Alexandria).

The calculation puts the raw formation energy at -0.36 eV/atom. For the density of states at the Fermi level, the calculation gives 3.40 states/eV/f.u. For the mass density, the calculation gives 4.361 Mg/m³. The energy comes out at -4.57 eV per atom. As for the offset from the most stable computed form: 1.0 kJ/mol of atoms.

The structure belongs to space group C2/c (No. 15); the cell edges are 12.646, 7.303 and 5.707 Å and the angles 90.00°, 90.95° and 90.00°. The asymmetric unit holds Li at (0.000, 0.005, 0.250), Li at (0.172, 0.499, 0.745), Si at (0.001, 0.337, 0.540), Si at (0.167, 0.176, 0.449) and Pd at (0.157, 0.150, 0.018).

# 12
# Li5SiPd3

An optimized crystal structure of Li5SiPd3 (PBE, Alexandria).

The calculation puts the raw formation energy at -0.31 eV/atom. For the density of states at the Fermi level, the calculation gives 2.88 states/eV/f.u. For the mass density, the calculation gives 3.951 Mg/m³. The energy comes out at -3.70 eV per atom.

The structure belongs to space group C2/m (No. 12); the cell edges are 7.297, 9.383 and 9.800 Å and the angles 90.00°, 106.78° and 90.00°. The asymmetric unit holds Li at (0.000, 0.235, 0.000), Li at (0.134, 0.256, 0.657), Li at (0.155, 0.000, 0.346), Li at (0.168, 0.000, 0.850), Si at (0.007, 0.500, 0.250), Pd at (0.000, 0.500, 0.000), Pd at (0.000, 0.500, 0.500), Pd at (0.178, 0.000, 0.596) and Pd at (0.184, 0.000, 0.105).

# 13
# Li4SiPd

An optimized crystal structure of Li4SiPd (PBE, Alexandria).

The calculation puts the raw formation energy at -0.40 eV/atom. For the density of states at the Fermi level, the calculation gives 0.91 states/eV/f.u. For the mass density, the calculation gives 3.274 Mg/m³. The energy comes out at -3.44 eV per atom.

The structure belongs to space group Cmcm (No. 63); the cell edges are 4.993, 15.085 and 4.371 Å and the angles 90.00°, 90.00° and 90.00°. The asymmetric unit holds Li at (0.244, 0.041, 0.250), Li at (0.248, 0.209, 0.250), Si at (0.000, 0.128, 0.750) and Pd at (0.000, 0.378, 0.250).

# 14
# Li2Si3Pd8

An optimized crystal structure of Li2Si3Pd8 (PBE, Alexandria).

The calculation puts the raw formation energy at -0.45 eV/atom. For the density of states at the Fermi level, the calculation gives 5.00 states/eV/f.u. For the mass density, the calculation gives 8.107 Mg/m³. The energy comes out at -5.19 eV per atom.

The structure belongs to space group Cmmm (No. 65); the cell edges are 8.287, 11.405 and 4.115 Å and the angles 90.00°, 90.00° and 90.00°. The asymmetric unit holds Li at (0.000, 0.247, 0.000), Si at (0.000, 0.500, 0.000), Si at (0.234, 0.000, 0.500), Pd at (0.000, 0.125, 0.500), Pd at (0.000, 0.377, 0.500) and Pd at (0.249, 0.376, 0.000).

# 15
# LiSi3Pd

An optimized crystal structure of LiSi3Pd (PBE, Alexandria).

The calculation puts the raw formation energy at 0.04 eV/atom. For the density of states at the Fermi level, the calculation gives 1.29 states/eV/f.u. For the mass density, the calculation gives 4.185 Mg/m³. The energy comes out at -4.63 eV per atom. As for the offset from the most stable computed form: 0.0 kJ/mol of atoms.

The structure belongs to space group I4mm (No. 107); the cell edges are 3.445, 3.445 and 13.214 Å and the angles 90.00°, 90.00° and 90.00°. The asymmetric unit holds Li at (0.000, 0.000, 0.000), Si at (0.000, 0.000, 0.804), Si at (0.000, 0.500, 0.156) and Pd at (0.000, 0.000, 0.374).

# 16
# Li2SiPd

An optimized crystal structure of Li2SiPd (PBE, Alexandria).

The calculation puts the raw formation energy at -0.41 eV/atom. For the density of states at the Fermi level, the calculation gives 1.58 states/eV/f.u. For the mass density, the calculation gives 4.525 Mg/m³. The energy comes out at -4.02 eV per atom.

The structure belongs to space group P4/mmm (No. 123); the cell edges are 3.634, 3.634 and 4.124 Å and the angles 90.00°, 90.00° and 90.00°. The asymmetric unit holds Li at (0.000, 0.500, 0.000), Si at (0.000, 0.000, 0.500) and Pd at (0.500, 0.500, 0.500).

# 17
# Li2SiPd

An optimized crystal structure of Li2SiPd (PBE, Alexandria).

The calculation puts the raw formation energy at -0.16 eV/atom. For the density of states at the Fermi level, the calculation gives 0.56 states/eV/f.u. For the mass density, the calculation gives 4.060 Mg/m³. The energy comes out at -3.78 eV per atom.

The structure belongs to space group I-42d (No. 122); the cell edges are 7.098, 7.098 and 4.818 Å and the angles 90.00°, 90.00° and 90.00°. The asymmetric unit holds Li at (0.241, 0.250, 0.125), Si at (0.000, 0.000, 0.500) and Pd at (0.000, 0.000, 0.000).

# 18
# Li3Si4Pd2

An optimized crystal structure of Li3Si4Pd2 (PBE, Alexandria).

The calculation puts the raw formation energy at -0.37 eV/atom. For the density of states at the Fermi level, the calculation gives 2.63 states/eV/f.u. For the mass density, the calculation gives 3.878 Mg/m³. The energy comes out at -4.58 eV per atom. As for the offset from the most stable computed form: 0.0 kJ/mol of atoms.

The structure belongs to space group C2/m (No. 12); the cell edges are 10.379, 3.869 and 7.793 Å and the angles 90.00°, 108.80° and 90.00°. The asymmetric unit holds Li at (0.000, 0.000, 0.000), Li at (0.116, 0.500, 0.698), Si at (0.082, 0.000, 0.426), Si at (0.229, 0.500, 0.073) and Pd at (0.184, 0.500, 0.353).

# 19
# Li6SiPd12

An optimized crystal structure of Li6SiPd12 (PBE, Alexandria).

The calculation puts the raw formation energy at -0.31 eV/atom. For the density of states at the Fermi level, the calculation gives 12.42 states/eV/f.u. For the mass density, the calculation gives 8.155 Mg/m³. The energy comes out at -4.48 eV per atom.

The structure belongs to space group R-3 (No. 148, hexagonal axes); the cell edges are 9.2360, 9.2360 and 11.1358 Å and the angles 90.00°, 90.00° and 120.00°. The asymmetric unit holds Li at (0.0135, 0.5909, 0.2093), Si at (0.0000, 0.0000, 0.5000), Pd at (0.0236, 0.8401, 0.3345) and Pd at (0.0546, 0.2038, 0.9041).

# 20
# Li2Si3Pd4

An optimized crystal structure of Li2Si3Pd4 (PBE, Alexandria).

The calculation puts the raw formation energy at -0.60 eV/atom. For the density of states at the Fermi level, the calculation gives 3.38 states/eV/f.u. For the mass density, the calculation gives 6.900 Mg/m³. The energy comes out at -5.14 eV per atom.

The structure belongs to space group P-1 (No. 2); the cell edges are 4.280, 4.281 and 8.064 Å and the angles 81.29°, 89.90° and 60.05°. The asymmetric unit holds Li at (0.129, 0.245, 0.265), Si at (0.237, 0.024, 0.904), Si at (0.500, 0.500, 0.500), Pd at (0.185, 0.128, 0.600) and Pd at (0.449, 0.605, 0.173).

# 21
# Li2Sm2Si4Pd

An optimized crystal structure of Li2Sm2Si4Pd (PBE, Alexandria).

The calculation puts the raw formation energy at -0.57 eV/atom. For the density of states at the Fermi level, the calculation gives 3.69 states/eV/f.u. For the mass density, the calculation gives 5.590 Mg/m³. The energy comes out at -5.03 eV per atom.

The structure belongs to space group I4/mmm (No. 139); the cell edges are 6.006, 6.006 and 8.785 Å and the angles 90.00°, 90.00° and 90.00°. The asymmetric unit holds Li at (0.000, 0.000, 0.215), Sm at (0.000, 0.500, 0.250), Si at (0.209, 0.209, 0.000) and Pd at (0.000, 0.000, 0.500).